VASP calculation (meta-GGA SCAN) on ZrSc2W at its PBEsol-relaxed geometry. Values from VASP.

```
&SYSTEM
  ibrav = 0, nat = 4, ntyp = 3
/
ATOMIC_SPECIES
Zr 91.22 Zr.upf
Sc 44.96 Sc.upf
W 183.84 W.upf
CELL_PARAMETERS angstrom
2.8699 0.0000 0.0000
0.0000 4.6255 0.0000
0.0000 0.0000 5.9895
ATOMIC_POSITIONS crystal
Zr 0.0000 0.0000 0.0000
Sc 0.0000 0.0000 0.5358
Sc 0.5000 0.5000 0.2669
W 0.5000 0.5000 0.7676
```

## Properties
VASP energy   -127.602 eV for the cell shown
Symmetry   Pmm2 (25)
Total magnetic moment   0.000 μB per formula unit
Density   7.62 Mg/m³
Energy above the lowest structure with this stoichiometry   5.2 kJ/mol of atoms


VASP calculation (meta-GGA SCAN) on YSc5 at its PBEsol-relaxed geometry. Values from VASP.

```
&SYSTEM
  ibrav = 0, nat = 12, ntyp = 2
/
ATOMIC_SPECIES
Y 88.91 Y.upf
Sc 44.96 Sc.upf
CELL_PARAMETERS angstrom
11.8093 0.0000 0.0000
0.0000 3.3265 0.0000
-1.7046 0.0000 7.5263
ATOMIC_POSITIONS crystal
Y 0.0000 0.0000 0.0000
Y 0.5000 0.5000 0.0000
Sc 0.1174 0.5000 0.7194
Sc 0.1713 0.5000 0.3429
Sc 0.2773 0.0000 0.0650
Sc 0.3340 0.0000 0.6642
Sc 0.4470 0.5000 0.3960
Sc 0.6174 0.0000 0.7194
Sc 0.6713 0.0000 0.3429
Sc 0.7773 0.5000 0.0650
Sc 0.8340 0.5000 0.6642
Sc 0.9470 0.0000 0.3960
```

## Properties
VASP energy   -197.746 eV for the cell shown
Symmetry   Cm (8)
Total magnetic moment   0.124 μB per formula unit
Density   3.52 Mg/m³
Energy above the lowest structure with this stoichiometry   0.6 kJ/mol of atoms


VASP calculation (meta-GGA SCAN) on Y2Sc at its PBEsol-relaxed geometry. Values from VASP.

```
&SYSTEM
  ibrav = 0, nat = 9, ntyp = 2
/
ATOMIC_SPECIES
Y 88.91 Y.upf
Sc 44.96 Sc.upf
CELL_PARAMETERS angstrom
9.2943 0.0000 0.0000
-4.6472 8.0491 0.0000
0.0000 0.0000 3.4072
ATOMIC_POSITIONS crystal
Y 0.0000 0.3656 0.0000
Y 0.0000 0.6985 0.5000
Y 0.3015 0.3015 0.5000
Y 0.3656 0.0000 0.0000
Y 0.6344 0.6344 0.0000
Y 0.6985 0.0000 0.5000
Sc 0.0000 0.0000 0.0000
Sc 0.3333 0.6667 0.5000
Sc 0.6667 0.3333 0.5000
```

## Properties
VASP energy   -209.391 eV for the cell shown
Symmetry   P-62m (189)
Total magnetic moment   1.468 μB per formula unit
Density   4.35 Mg/m³
Energy above the lowest structure with this stoichiometry   1.2 kJ/mol of atoms


VASP calculation (meta-GGA SCAN) on Y2Sc at its PBEsol-relaxed geometry. Values from VASP.

```
&SYSTEM
  ibrav = 0, nat = 3, ntyp = 2
/
ATOMIC_SPECIES
Y 88.91 Y.upf
Sc 44.96 Sc.upf
CELL_PARAMETERS angstrom
3.4182 0.0000 0.0000
-1.7091 2.9602 0.0000
0.0000 0.0000 8.3022
ATOMIC_POSITIONS crystal
Y 0.3333 0.6667 0.3234
Y 0.6667 0.3333 0.6766
Sc 0.0000 0.0000 0.0000
```

## Properties
VASP energy   -69.641 eV for the cell shown
Symmetry   P-3m1 (164)
Total magnetic moment   0.001 μB per formula unit
Density   4.40 Mg/m³
Energy above the lowest structure with this stoichiometry   6.2 kJ/mol of atoms


VASP calculation (meta-GGA SCAN) on Y2Sc at its PBEsol-relaxed geometry. Values from VASP.

```
&SYSTEM
  ibrav = 0, nat = 6, ntyp = 2
/
ATOMIC_SPECIES
Y 88.91 Y.upf
Sc 44.96 Sc.upf
CELL_PARAMETERS angstrom
3.4348 0.0000 0.0000
0.0000 3.4348 0.0000
0.0000 0.0000 14.2562
ATOMIC_POSITIONS crystal
Y 0.0000 0.0000 0.1611
Y 0.0000 0.0000 0.8389
Y 0.5000 0.5000 0.3389
Y 0.5000 0.5000 0.6611
Sc 0.0000 0.0000 0.5000
Sc 0.5000 0.5000 0.0000
```

## Properties
VASP energy   -139.317 eV for the cell shown
Symmetry   I4/mmm (139)
Total magnetic moment   0.000 μB per formula unit
Density   4.40 Mg/m³
Energy above the lowest structure with this stoichiometry   5.6 kJ/mol of atoms


VASP calculation (meta-GGA SCAN) on Y3Sc at its PBEsol-relaxed geometry. Values from VASP.

```
&SYSTEM
  ibrav = 0, nat = 4, ntyp = 2
/
ATOMIC_SPECIES
Y 88.91 Y.upf
Sc 44.96 Sc.upf
CELL_PARAMETERS angstrom
3.4583 0.0000 0.0000
0.0000 3.4583 0.0000
0.0000 0.0000 9.5733
ATOMIC_POSITIONS crystal
Y 0.0000 0.0000 0.0000
Y 0.5000 0.5000 0.2618
Y 0.5000 0.5000 0.7382
Sc 0.0000 0.0000 0.5000
```

## Properties
VASP energy   -97.434 eV for the cell shown
Symmetry   P4/mmm (123)
Total magnetic moment   0.001 μB per formula unit
Density   4.52 Mg/m³
Energy above the lowest structure with this stoichiometry   6.3 kJ/mol of atoms


VASP calculation (meta-GGA SCAN) on Y2Sc at its PBEsol-relaxed geometry. Values from VASP.

```
&SYSTEM
  ibrav = 0, nat = 12, ntyp = 2
/
ATOMIC_SPECIES
Y 88.91 Y.upf
Sc 44.96 Sc.upf
CELL_PARAMETERS angstrom
12.3990 0.0000 0.0000
0.0000 3.4858 0.0000
-1.7911 0.0000 7.8728
ATOMIC_POSITIONS crystal
Y 0.1355 0.0000 0.0309
Y 0.1881 0.0000 0.6354
Y 0.3119 0.5000 0.3646
Y 0.3645 0.5000 0.9691
Y 0.6355 0.5000 0.0309
Y 0.6881 0.5000 0.6354
Y 0.8119 0.0000 0.3646
Y 0.8645 0.0000 0.9691
Sc 0.0282 0.5000 0.3094
Sc 0.4718 0.0000 0.6906
Sc 0.5282 0.0000 0.3094
Sc 0.9718 0.5000 0.6906
```

## Properties
VASP energy   -279.331 eV for the cell shown
Symmetry   C2/m (12)
Total magnetic moment   0.172 μB per formula unit
Density   4.35 Mg/m³
Energy above the lowest structure with this stoichiometry   0.0 kJ/mol of atoms


VASP calculation (meta-GGA SCAN) on Y3Sc at its PBEsol-relaxed geometry. Values from VASP.

```
&SYSTEM
  ibrav = 0, nat = 8, ntyp = 2
/
ATOMIC_SPECIES
Y 88.91 Y.upf
Sc 44.96 Sc.upf
CELL_PARAMETERS angstrom
6.8567 0.0000 0.0000
0.0000 9.6714 0.0000
0.0000 0.0000 3.4476
ATOMIC_POSITIONS crystal
Y 0.0000 0.0000 0.0000
Y 0.2500 0.2500 0.5000
Y 0.2500 0.7500 0.5000
Y 0.5000 0.5000 0.0000
Y 0.7500 0.2500 0.5000
Y 0.7500 0.7500 0.5000
Sc 0.0000 0.5000 0.0000
Sc 0.5000 0.0000 0.0000
```

## Properties
VASP energy   -194.806 eV for the cell shown
Symmetry   Cmmm (65)
Total magnetic moment   0.000 μB per formula unit
Density   4.53 Mg/m³
Energy above the lowest structure with this stoichiometry   7.1 kJ/mol of atoms


VASP calculation (meta-GGA SCAN) on Y3Sc at its PBEsol-relaxed geometry. Values from VASP.

```
&SYSTEM
  ibrav = 0, nat = 8, ntyp = 2
/
ATOMIC_SPECIES
Y 88.91 Y.upf
Sc 44.96 Sc.upf
CELL_PARAMETERS angstrom
4.8668 0.0000 0.0000
0.0000 4.8668 0.0000
0.0000 0.0000 9.6614
ATOMIC_POSITIONS crystal
Y 0.0000 0.0000 0.0000
Y 0.0000 0.5000 0.2500
Y 0.0000 0.5000 0.7500
Y 0.5000 0.0000 0.2500
Y 0.5000 0.0000 0.7500
Y 0.5000 0.5000 0.5000
Sc 0.0000 0.0000 0.5000
Sc 0.5000 0.5000 0.0000
```

## Properties
VASP energy   -194.851 eV for the cell shown
Symmetry   I4/mmm (139)
Total magnetic moment   0.000 μB per formula unit
Density   4.52 Mg/m³
Energy above the lowest structure with this stoichiometry   6.5 kJ/mol of atoms


VASP calculation (meta-GGA SCAN) on Y3Sc at its PBEsol-relaxed geometry. Values from VASP.

```
&SYSTEM
  ibrav = 0, nat = 16, ntyp = 2
/
ATOMIC_SPECIES
Y 88.91 Y.upf
Sc 44.96 Sc.upf
CELL_PARAMETERS angstrom
7.7413 0.0000 0.0000
0.0000 7.7413 0.0000
0.0000 0.0000 7.7413
ATOMIC_POSITIONS crystal
Y 0.0000 0.0000 0.0000
Y 0.0000 0.5000 0.5000
Y 0.2500 0.2500 0.2500
Y 0.2500 0.2500 0.7500
Y 0.2500 0.7500 0.2500
Y 0.2500 0.7500 0.7500
Y 0.5000 0.0000 0.5000
Y 0.5000 0.5000 0.0000
Y 0.7500 0.2500 0.2500
Y 0.7500 0.2500 0.7500
Y 0.7500 0.7500 0.2500
Y 0.7500 0.7500 0.7500
Sc 0.0000 0.0000 0.5000
Sc 0.0000 0.5000 0.0000
Sc 0.5000 0.0000 0.0000
Sc 0.5000 0.5000 0.5000
```

## Properties
VASP energy   -388.853 eV for the cell shown
Symmetry   Fm-3m (225)
Total magnetic moment   0.011 μB per formula unit
Density   4.46 Mg/m³
Energy above the lowest structure with this stoichiometry   11.6 kJ/mol of atoms


VASP calculation (meta-GGA SCAN) on YSc at its PBEsol-relaxed geometry. Values from VASP.

```
&SYSTEM
  ibrav = 0, nat = 2, ntyp = 2
/
ATOMIC_SPECIES
Y 88.91 Y.upf
Sc 44.96 Sc.upf
CELL_PARAMETERS angstrom
3.4063 0.0000 0.0000
0.0000 3.4063 0.0000
0.0000 0.0000 4.6167
ATOMIC_POSITIONS crystal
Y 0.0000 0.0000 0.0000
Sc 0.5000 0.5000 0.5000
```

## Properties
VASP energy   -41.890 eV for the cell shown
Symmetry   P4/mmm (123)
Total magnetic moment   0.267 μB per formula unit
Density   4.15 Mg/m³
Energy above the lowest structure with this stoichiometry   7.1 kJ/mol of atoms


VASP calculation (meta-GGA SCAN) on Y3Sc at its PBEsol-relaxed geometry. Values from VASP.

```
&SYSTEM
  ibrav = 0, nat = 4, ntyp = 2
/
ATOMIC_SPECIES
Y 88.91 Y.upf
Sc 44.96 Sc.upf
CELL_PARAMETERS angstrom
3.4505 0.0000 0.0000
0.0000 4.8124 0.0000
0.0000 0.0000 6.8846
ATOMIC_POSITIONS crystal
Y 0.0000 0.0000 0.0000
Y 0.5000 0.5000 0.2566
Y 0.5000 0.5000 0.7434
Sc 0.0000 0.0000 0.5000
```

## Properties
VASP energy   -97.417 eV for the cell shown
Symmetry   Pmmm (47)
Total magnetic moment   0.000 μB per formula unit
Density   4.53 Mg/m³
Energy above the lowest structure with this stoichiometry   6.7 kJ/mol of atoms


VASP calculation (meta-GGA SCAN) on YSc at its PBEsol-relaxed geometry. Values from VASP.

```
&SYSTEM
  ibrav = 0, nat = 4, ntyp = 2
/
ATOMIC_SPECIES
Y 88.91 Y.upf
Sc 44.96 Sc.upf
CELL_PARAMETERS angstrom
5.3264 0.0000 0.0000
0.0000 3.4328 0.0000
0.0000 0.0000 5.9340
ATOMIC_POSITIONS crystal
Y 0.2500 0.0000 0.1741
Y 0.7500 0.0000 0.8259
Sc 0.2500 0.5000 0.6609
Sc 0.7500 0.5000 0.3391
```

## Properties
VASP energy   -84.075 eV for the cell shown
Symmetry   Pmma (51)
Total magnetic moment   0.999 μB per formula unit
Density   4.10 Mg/m³
Energy above the lowest structure with this stoichiometry   0.0 kJ/mol of atoms


VASP calculation (meta-GGA SCAN) on Y3Sc at its PBEsol-relaxed geometry. Values from VASP.

```
&SYSTEM
  ibrav = 0, nat = 8, ntyp = 2
/
ATOMIC_SPECIES
Y 88.91 Y.upf
Sc 44.96 Sc.upf
CELL_PARAMETERS angstrom
11.3654 0.0000 0.0000
0.0000 3.4446 0.0000
-1.0616 0.0000 5.8385
ATOMIC_POSITIONS crystal
Y 0.0000 0.0000 0.0000
Y 0.2459 0.0000 0.7460
Y 0.2541 0.5000 0.2540
Y 0.5000 0.5000 0.0000
Y 0.7459 0.5000 0.7460
Y 0.7541 0.0000 0.2540
Sc 0.0000 0.5000 0.5000
Sc 0.5000 0.0000 0.5000
```

## Properties
VASP energy   -194.827 eV for the cell shown
Symmetry   C2/m (12)
Total magnetic moment   0.000 μB per formula unit
Density   4.53 Mg/m³
Energy above the lowest structure with this stoichiometry   6.8 kJ/mol of atoms


VASP calculation (meta-GGA SCAN) on Y3Sc4 at its PBEsol-relaxed geometry. Values from VASP.

```
&SYSTEM
  ibrav = 0, nat = 14, ntyp = 2
/
ATOMIC_SPECIES
Y 88.91 Y.upf
Sc 44.96 Sc.upf
CELL_PARAMETERS angstrom
3.6867 0.0000 0.0000
0.0000 3.6867 0.0000
0.0000 0.0000 27.6738
ATOMIC_POSITIONS crystal
Y 0.0000 0.0000 0.0000
Y 0.0000 0.0000 0.2949
Y 0.0000 0.0000 0.7051
Y 0.5000 0.5000 0.2051
Y 0.5000 0.5000 0.5000
Y 0.5000 0.5000 0.7949
Sc 0.0000 0.0000 0.1326
Sc 0.0000 0.0000 0.4251
Sc 0.0000 0.0000 0.5749
Sc 0.0000 0.0000 0.8674
Sc 0.5000 0.5000 0.0749
Sc 0.5000 0.5000 0.3674
Sc 0.5000 0.5000 0.6326
Sc 0.5000 0.5000 0.9251
```

## Properties
VASP energy   -279.714 eV for the cell shown
Symmetry   I4/mmm (139)
Total magnetic moment   0.002 μB per formula unit
Density   3.94 Mg/m³


VASP calculation (meta-GGA SCAN) on YSc5 at its PBEsol-relaxed geometry. Values from VASP.

```
&SYSTEM
  ibrav = 0, nat = 6, ntyp = 2
/
ATOMIC_SPECIES
Y 88.91 Y.upf
Sc 44.96 Sc.upf
CELL_PARAMETERS angstrom
5.7641 0.0000 0.0000
-2.8820 4.9918 0.0000
0.0000 0.0000 5.1501
ATOMIC_POSITIONS crystal
Y 0.0000 0.0000 0.0000
Sc 0.0000 0.3414 0.5000
Sc 0.3333 0.6667 0.0000
Sc 0.3414 0.0000 0.5000
Sc 0.6586 0.6586 0.5000
Sc 0.6667 0.3333 0.0000
```

## Properties
VASP energy   -98.911 eV for the cell shown
Symmetry   P-62m (189)
Total magnetic moment   3.167 μB per formula unit
Density   3.52 Mg/m³
Energy above the lowest structure with this stoichiometry   0.0 kJ/mol of atoms


VASP calculation (meta-GGA SCAN) on Y3Sc at its PBEsol-relaxed geometry. Values from VASP.

```
&SYSTEM
  ibrav = 0, nat = 16, ntyp = 2
/
ATOMIC_SPECIES
Y 88.91 Y.upf
Sc 44.96 Sc.upf
CELL_PARAMETERS angstrom
7.0101 0.0000 0.0000
0.0000 12.1538 0.0000
0.0000 0.0000 5.4551
ATOMIC_POSITIONS crystal
Y 0.0000 0.0826 0.2500
Y 0.0000 0.9174 0.7500
Y 0.2479 0.3351 0.2500
Y 0.2479 0.6649 0.7500
Y 0.2521 0.1649 0.7500
Y 0.2521 0.8351 0.2500
Y 0.5000 0.4174 0.7500
Y 0.5000 0.5826 0.2500
Y 0.7479 0.1649 0.7500
Y 0.7479 0.8351 0.2500
Y 0.7521 0.3351 0.2500
Y 0.7521 0.6649 0.7500
Sc 0.0000 0.4185 0.7500
Sc 0.0000 0.5815 0.2500
Sc 0.5000 0.0815 0.2500
Sc 0.5000 0.9185 0.7500
```

## Properties
VASP energy   -390.677 eV for the cell shown
Symmetry   Cmcm (63)
Total magnetic moment   2.106 μB per formula unit
Density   4.45 Mg/m³
Energy above the lowest structure with this stoichiometry   0.6 kJ/mol of atoms


VASP calculation (meta-GGA SCAN) on YSc5 at its PBEsol-relaxed geometry. Values from VASP.

```
&SYSTEM
  ibrav = 0, nat = 12, ntyp = 2
/
ATOMIC_SPECIES
Y 88.91 Y.upf
Sc 44.96 Sc.upf
CELL_PARAMETERS angstrom
4.6138 0.0000 0.0000
0.0000 13.8172 0.0000
0.0000 0.0000 4.6153
ATOMIC_POSITIONS crystal
Y 0.0000 0.0000 0.0000
Y 0.5000 0.5000 0.0000
Sc 0.0000 0.1690 0.5000
Sc 0.0000 0.3299 0.0000
Sc 0.0000 0.5000 0.5000
Sc 0.0000 0.6701 0.0000
Sc 0.0000 0.8310 0.5000
Sc 0.5000 0.0000 0.5000
Sc 0.5000 0.1701 0.0000
Sc 0.5000 0.3310 0.5000
Sc 0.5000 0.6690 0.5000
Sc 0.5000 0.8299 0.0000
```

## Properties
VASP energy   -197.034 eV for the cell shown
Symmetry   Cmmm (65)
Total magnetic moment   0.244 μB per formula unit
Density   3.54 Mg/m³
Energy above the lowest structure with this stoichiometry   6.3 kJ/mol of atoms


VASP calculation (meta-GGA SCAN) on Y4Sc3 at its PBEsol-relaxed geometry. Values from VASP.

```
&SYSTEM
  ibrav = 0, nat = 14, ntyp = 2
/
ATOMIC_SPECIES
Y 88.91 Y.upf
Sc 44.96 Sc.upf
CELL_PARAMETERS angstrom
3.4064 0.0000 0.0000
0.0000 3.4064 0.0000
0.0000 0.0000 33.0081
ATOMIC_POSITIONS crystal
Y 0.0000 0.0000 0.0703
Y 0.0000 0.0000 0.3524
Y 0.0000 0.0000 0.6476
Y 0.0000 0.0000 0.9297
Y 0.5000 0.5000 0.1476
Y 0.5000 0.5000 0.4297
Y 0.5000 0.5000 0.5703
Y 0.5000 0.5000 0.8524
Sc 0.0000 0.0000 0.2182
Sc 0.0000 0.0000 0.5000
Sc 0.0000 0.0000 0.7818
Sc 0.5000 0.5000 0.0000
Sc 0.5000 0.5000 0.2818
Sc 0.5000 0.5000 0.7182
```

## Properties
VASP energy   -306.845 eV for the cell shown
Symmetry   I4/mmm (139)
Total magnetic moment   0.000 μB per formula unit
Density   4.25 Mg/m³


VASP calculation (meta-GGA SCAN) on Y2Sc at its PBEsol-relaxed geometry. Values from VASP.

```
&SYSTEM
  ibrav = 0, nat = 6, ntyp = 2
/
ATOMIC_SPECIES
Y 88.91 Y.upf
Sc 44.96 Sc.upf
CELL_PARAMETERS angstrom
0.0000 4.4511 4.4511
4.4511 0.0000 4.4511
4.4511 4.4511 0.0000
ATOMIC_POSITIONS crystal
Y 0.0000 0.0000 0.0000
Y 0.0000 0.0000 0.5000
Y 0.0000 0.5000 0.0000
Y 0.5000 0.0000 0.0000
Sc 0.3750 0.3750 0.3750
Sc 0.6250 0.6250 0.6250
```

## Properties
VASP energy   -137.739 eV for the cell shown
Symmetry   Fd-3m (227)
Total magnetic moment   0.075 μB per formula unit
Density   4.19 Mg/m³
Energy above the lowest structure with this stoichiometry   31.0 kJ/mol of atoms


| no. | formation enthalpy at 0 K (meV per atom) |
| --- | --- |
| 1 | 315 |
| 2 | 26 |
| 3 | 42 |
| 4 | 94 |
| 5 | 88 |
| 6 | 83 |
| 7 | 30 |
| 8 | 91 |
| 9 | 85 |
| 10 | 138 |
| 11 | 95 |
| 12 | 87 |
| 13 | 21 |
| 14 | 88 |
| 15 | 89 |
| 16 | 20 |
| 17 | 24 |
| 18 | 85 |
| 19 | 94 |
| 20 | 351 |